Entry 1:
# Tb6Sm3Dy2Th (PBE, optimized geometry)
data_Tb6Sm3Dy2Th
_space_group_name_H-M_alt 'C 1 2/m 1'
_space_group_IT_number 12
_cell_length_a 6.1998
_cell_length_b 10.7273
_cell_length_c 11.8581
_cell_angle_alpha 90.00
_cell_angle_beta 100.03
_cell_angle_gamma 90.00
loop_
_space_group_symop_operation_xyz
'x,y,z'
'-x,-y,-z'
'-x,y,-z'
'x,-y,z'
'x+1/2,y+1/2,z'
'-x+1/2,-y+1/2,-z'
'-x+1/2,y+1/2,-z'
'x+1/2,-y+1/2,z'
loop_
_atom_site_label
_atom_site_fract_x
_atom_site_fract_y
_atom_site_fract_z
_atom_site_occupancy
Tb1 0.2469 0.0000 0.2526 1
Tb2 0.2481 0.1650 0.7473 1
Sm1 0.0000 0.1671 0.0000 1
Sm2 0.0000 0.5000 0.0000 1
Dy1 0.0000 0.3334 0.5000 1
Th1 0.0000 0.0000 0.5000 1
# Volume in A^3/atom: 32.358
# Density of states at the Fermi level in states/eV/cell: 31.08
# Energy of formation from the pure elements in eV per atom: 0.021

=====

Entry 2:
# Rb3PbS4 (PBE, optimized geometry)
data_Rb3PbS4
_space_group_name_H-M_alt 'I m m m'
_space_group_IT_number 71
_space_group_name_Hall '-I 2 2'
_cell_length_a 5.0180
_cell_length_b 6.1416
_cell_length_c 17.5474
_cell_angle_alpha 90.00
_cell_angle_beta 90.00
_cell_angle_gamma 90.00
loop_
_atom_site_label
_atom_site_fract_x
_atom_site_fract_y
_atom_site_fract_z
_atom_site_occupancy
Rb1 0.0000 0.0000 0.0000 1
Rb2 0.0000 0.5000 0.1941 1
Pb1 0.0000 0.0000 0.5000 1
S1 0.0000 0.3228 0.3782 1
# E_tot in eV per atom: -3.582
# Volume in A^3/atom: 33.799
# Density of states at the Fermi level in states/eV/cell: 6.12

=====

Entry 3:
# MgGa2Ir4 (PBE, optimized geometry)
data_MgGa2Ir4
_space_group_name_H-M_alt 'I 4/m m m'
_space_group_IT_number 139
_space_group_name_Hall '-I 4 2'
_cell_length_a 5.9977
_cell_length_b 5.9977
_cell_length_c 6.0187
_cell_angle_alpha 90.00
_cell_angle_beta 90.00
_cell_angle_gamma 90.00
loop_
_atom_site_label
_atom_site_fract_x
_atom_site_fract_y
_atom_site_fract_z
_atom_site_occupancy
Mg1 0.0000 0.0000 0.0000 1
Ga1 0.0000 0.5000 0.0000 1
Ir1 0.2500 0.2500 0.2500 1
# Volume in A^3/atom: 15.464
# Density of states at the Fermi level in states/eV/cell: 12.44
# Energy of formation from the pure elements in eV per atom: -0.063

=====

Entry 4:
# LaPm12Y5 (PBE, optimized geometry)
data_LaPm12Y5
_space_group_name_H-M_alt 'C 1 2/m 1'
_space_group_IT_number 12
_cell_length_a 12.1751
_cell_length_b 17.1084
_cell_length_c 5.8718
_cell_angle_alpha 90.00
_cell_angle_beta 90.06
_cell_angle_gamma 90.00
loop_
_space_group_symop_operation_xyz
'x,y,z'
'-x,-y,-z'
'-x,y,-z'
'x,-y,z'
'x+1/2,y+1/2,z'
'-x+1/2,-y+1/2,-z'
'-x+1/2,y+1/2,-z'
'x+1/2,-y+1/2,z'
loop_
_atom_site_label
_atom_site_fract_x
_atom_site_fract_y
_atom_site_fract_z
_atom_site_occupancy
La1 0.0000 0.0000 0.0000 1
Pm1 0.1517 0.1786 0.0056 1
Pm2 0.1516 0.3208 0.4942 1
Pm3 0.1963 0.5000 0.0540 1
Pm4 0.2037 0.0000 0.4438 1
Y1 0.0000 0.1388 0.5000 1
Y2 0.0000 0.3616 0.0000 1
Y3 0.0000 0.5000 0.5000 1
# Volume in A^3/atom: 33.974
# Density of states at the Fermi level in states/eV/cell: 55.50
# Energy of formation from the pure elements in eV per atom: 0.082

=====

Entry 5:
# ZrGaOs (PBE, optimized geometry)
data_ZrGaOs
_space_group_name_H-M_alt 'A m m 2'
_space_group_IT_number 38
_cell_length_a 3.8984
_cell_length_b 3.2440
_cell_length_c 16.5186
_cell_angle_alpha 90.00
_cell_angle_beta 90.00
_cell_angle_gamma 90.00
loop_
_space_group_symop_operation_xyz
'x,y,z'
'-x,-y,z'
'-x,y,z'
'x,-y,z'
'x,y+1/2,z+1/2'
'-x,-y+1/2,z+1/2'
'-x,y+1/2,z+1/2'
'x,-y+1/2,z+1/2'
loop_
_atom_site_label
_atom_site_fract_x
_atom_site_fract_y
_atom_site_fract_z
_atom_site_occupancy
Zr1 0.0000 0.0000 0.0000 1
Zr2 0.5000 0.0000 0.2353 1
Ga1 0.0000 0.0000 0.6604 1
Ga2 0.5000 0.0000 0.4020 1
Os1 0.0000 0.0000 0.8247 1
Os2 0.5000 0.0000 0.5628 1
# Volume in A^3/atom: 17.409
# Density of states at the Fermi level in states/eV/cell: 5.08
# Energy of formation from the pure elements in eV per atom: -0.332

=====

Entry 6:
# Tm2TcH6 (PBE, optimized geometry)
data_Tm2TcH6
_space_group_name_H-M_alt 'F m -3 m'
_space_group_IT_number 225
_space_group_name_Hall '-F 4 2 3'
_cell_length_a 6.9886
_cell_length_b 6.9886
_cell_length_c 6.9886
_cell_angle_alpha 90.00
_cell_angle_beta 90.00
_cell_angle_gamma 90.00
loop_
_atom_site_label
_atom_site_fract_x
_atom_site_fract_y
_atom_site_fract_z
_atom_site_occupancy
Tm1 0.2500 0.2500 0.2500 1
Tc1 0.0000 0.0000 0.0000 1
H1 0.0000 0.0000 0.2548 1
# E_tot in eV per atom: -4.922
# Volume in A^3/atom: 9.481
# Density of states at the Fermi level in states/eV/cell: 16.68

=====

Entry 7:
# Tc5Ru (PBE, optimized geometry)
data_Tc5Ru
_space_group_name_H-M_alt 'A m m 2'
_space_group_IT_number 38
_cell_length_a 4.3722
_cell_length_b 2.7590
_cell_length_c 14.3497
_cell_angle_alpha 90.00
_cell_angle_beta 90.00
_cell_angle_gamma 90.00
loop_
_space_group_symop_operation_xyz
'x,y,z'
'-x,-y,z'
'-x,y,z'
'x,-y,z'
'x,y+1/2,z+1/2'
'-x,-y+1/2,z+1/2'
'-x,y+1/2,z+1/2'
'x,-y+1/2,z+1/2'
loop_
_atom_site_label
_atom_site_fract_x
_atom_site_fract_y
_atom_site_fract_z
_atom_site_occupancy
Tc1 0.0000 0.0000 0.0000 1
Tc2 0.0000 0.0000 0.3313 1
Tc3 0.5000 0.0000 0.1104 1
Tc4 0.5000 0.0000 0.4427 1
Tc5 0.5000 0.0000 0.7764 1
Ru1 0.0000 0.0000 0.6644 1
# Volume in A^3/atom: 14.425
# Density of states at the Fermi level in states/eV/cell: 11.16
# Energy above the most stable polymorph in this dataset in eV per atom: 0.001
# Energy of formation from the pure elements in eV per atom: -0.022

=====

Entry 8:
# TaMn2As (PBE, optimized geometry)
data_TaMn2As
_space_group_name_H-M_alt 'I m m m'
_space_group_IT_number 71
_space_group_name_Hall '-I 2 2'
_cell_length_a 3.4105
_cell_length_b 4.1316
_cell_length_c 8.0568
_cell_angle_alpha 90.00
_cell_angle_beta 90.00
_cell_angle_gamma 90.00
loop_
_atom_site_label
_atom_site_fract_x
_atom_site_fract_y
_atom_site_fract_z
_atom_site_occupancy
Ta1 0.0000 0.0000 0.0000 1
Mn1 0.0000 0.5000 0.2471 1
As1 0.0000 0.0000 0.5000 1
# Volume in A^3/atom: 14.191
# Density of states at the Fermi level in states/eV/cell: 5.67
# Energy of formation from the pure elements in eV per atom: -0.046

=====

Entry 9:
# La4TcPt (PBE, optimized geometry)
data_La4TcPt
_space_group_name_H-M_alt 'F -4 3 m'
_space_group_IT_number 216
_space_group_name_Hall 'F -4 2 3'
_cell_length_a 8.6206
_cell_length_b 8.6206
_cell_length_c 8.6206
_cell_angle_alpha 90.00
_cell_angle_beta 90.00
_cell_angle_gamma 90.00
loop_
_atom_site_label
_atom_site_fract_x
_atom_site_fract_y
_atom_site_fract_z
_atom_site_occupancy
La1 0.1254 0.1254 0.1254 1
Tc1 0.0000 0.0000 0.5000 1
Pt1 0.2500 0.2500 0.7500 1
# Volume in A^3/atom: 26.693
# Density of states at the Fermi level in states/eV/cell: 34.41
# Energy above the most stable polymorph in this dataset in eV per atom: 1.165
# Energy of formation from the pure elements in eV per atom: 0.725

=====

Entry 10:
# MnCoSb2 (PBE, optimized geometry)
data_MnCoSb2
_space_group_name_H-M_alt 'I -4 2 d'
_space_group_IT_number 122
_space_group_name_Hall 'I -4 2bw'
_cell_length_a 5.7529
_cell_length_b 5.7529
_cell_length_c 11.3378
_cell_angle_alpha 90.00
_cell_angle_beta 90.00
_cell_angle_gamma 90.00
loop_
_atom_site_label
_atom_site_fract_x
_atom_site_fract_y
_atom_site_fract_z
_atom_site_occupancy
Mn1 0.0000 0.0000 0.0000 1
Co1 0.0000 0.0000 0.5000 1
Sb1 0.2442 0.2500 0.6250 1
# Volume in A^3/atom: 23.452
# Density of states at the Fermi level in states/eV/cell: 23.76
# Energy above the most stable polymorph in this dataset in eV per atom: 0.630

=====

Entry 11:
# NdCd2Sn3 (PBE, optimized geometry)
data_NdCd2Sn3
_space_group_name_H-M_alt 'C m m m'
_space_group_IT_number 65
_space_group_name_Hall '-C 2 2'
_cell_length_a 4.7350
_cell_length_b 14.5514
_cell_length_c 4.5334
_cell_angle_alpha 90.00
_cell_angle_beta 90.00
_cell_angle_gamma 90.00
loop_
_atom_site_label
_atom_site_fract_x
_atom_site_fract_y
_atom_site_fract_z
_atom_site_occupancy
Nd1 0.0000 0.0000 0.0000 1
Cd1 0.0000 0.3329 0.0000 1
Sn1 0.0000 0.1719 0.5000 1
Sn2 0.0000 0.5000 0.5000 1
# Volume in A^3/atom: 26.030
# Density of states at the Fermi level in states/eV/cell: 5.52
# Energy of formation from the pure elements in eV per atom: -0.282

=====

Entry 12:
# CaV2ZnMo (PBE, optimized geometry)
data_CaV2ZnMo
_space_group_name_H-M_alt 'P 4/m m m'
_space_group_IT_number 123
_space_group_name_Hall '-P 4 2'
_cell_length_a 4.6102
_cell_length_b 4.6102
_cell_length_c 5.1368
_cell_angle_alpha 90.00
_cell_angle_beta 90.00
_cell_angle_gamma 90.00
loop_
_atom_site_label
_atom_site_fract_x
_atom_site_fract_y
_atom_site_fract_z
_atom_site_occupancy
Ca1 0.0000 0.0000 0.0000 1
V1 0.0000 0.5000 0.5000 1
Zn1 0.5000 0.5000 0.0000 1
Mo1 0.5000 0.5000 0.5000 1
# Volume in A^3/atom: 21.835
# Density of states at the Fermi level in states/eV/cell: 5.93
# Energy of formation from the pure elements in eV per atom: 0.725